Density functional theory data (PBE) for an optimized crystal structure of Y3MgRh4.

Calculated values
ΔH_f (0 K) (eV per atom): -0.775
Volume (Å³/f.u.): 152.6
Crystal system: trigonal
Energy (Ry per atom): -0.5199

a b c (Å): 4.7572 4.7572 23.3640
angles (deg): 90.00 90.00 120.00
Space group R-3m (No. 166, hexagonal axes)
Asymmetric unit:
Y1 0.0000 0.0000 0.0000 [3 per cell]
Y2 0.0000 0.0000 0.2448 [6 per cell]
Mg1 0.0000 0.0000 0.5000 [3 per cell]
Rh1 0.0000 0.0000 0.1249 [6 per cell]
Rh2 0.0000 0.0000 0.3764 [6 per cell]

***

Density functional theory data (PBE) for an optimized crystal structure of Tb2HoGaC.

Calculated values
ΔH_f (0 K) (eV per atom): -0.438
Volume (Å³/f.u.): 115.6
Crystal system: tetragonal
Energy (Ry per atom): -0.4157

a b c (Å): 4.891 4.891 4.831
angles (deg): 90.00 90.00 90.00
Space group P4/mmm (No. 123)
Asymmetric unit:
Tb1 0.000 0.500 0.000 [2 per cell]
Ho1 0.000 0.000 0.500 [1 per cell]
Ga1 0.500 0.500 0.500 [1 per cell]
C1 0.000 0.000 0.000 [1 per cell]

***

Density functional theory data (PBE) for an optimized crystal structure of MgInSb.

Calculated values
Formation energy (no corrections) (eV per atom): -0.0361
Volume (Å³/f.u.): 76.7
Crystal system: orthorhombic
Energy (Ry per atom): -0.2098

a b c (Å): 3.326 4.271 10.800
angles (deg): 90.00 90.00 90.00
Space group Imm2 (No. 44)
Asymmetric unit:
Mg1 0.000 0.000 0.000 [2 per cell]
In1 0.000 0.000 0.330 [2 per cell]
Sb1 0.000 0.000 0.644 [2 per cell]